La4Hg3Pb: relaxed, GGA-PBE.

- DFT total energy (eV per atom) = -3.56
- DFT formation energy (eV per atom) = -0.523
- volume (Å³/f.u.) = 244.3
- space group = No. 139
- magnetic moment (μB per formula unit) = 1.52

Cell lengths 5.512, 5.511, 8.938 Å; angles 107.96, 107.96, 90.00 degrees
Atoms (fractional coordinates):
La1 0.873 0.873 0.746
La2 0.373 0.373 0.746
La3 0.127 0.127 0.254
La4 0.627 0.627 0.254
Hg1 0.000 0.500 0.000
Hg2 0.247 0.747 0.494
Hg3 0.753 0.253 0.506
Pb1 0.500 0.000 0.000